A relaxed CdCoPbO4 crystal, computed with PBE with a Hubbard U.

For the size of the total moment, the calculation gives 3.0 μB per formula unit. Its raw total energy is -146.254 eV/cell. The volume comes out at 392.6 Å³ per cell.

The space group is Imma (No. 74) and the conventional cell measures 6.3669, 6.6897 and 9.2181 Å, with angles of 90.00, 90.00 and 90.00 degrees. Symmetry generates all atoms from Cd at (0.0000, 0.2500, 0.1410), Co at (0.2500, 0.2500, 0.7500), Pb at (0.0000, 0.0000, 0.5000), O at (0.0000, 0.0365, 0.7358) and O at (0.2330, 0.2500, 0.5142).